No. 1
TaFePb2 | PBEsol | optimized geometry

Lattice parameters (Å, degrees): 3.2762 5.1926 5.5434 117.84 107.19 90.00
Site moments in Bohr magnetons follow the coordinates.
Positions (direct):
Pb  0.7740  0.7740  0.5481  -0.01
Pb  0.2260  0.2260  0.4519  -0.01
Fe  0.5000  0.0000  0.0000  2.28
Ta  0.0000  0.5000  0.0000  0.01

total magnetic moment	2.3	μB/f.u.
symmetry	C2/m
DOS(E_F)	4.0	states/eV per cell
energy	-0.24371	hartree per atom

No. 2
TaFe2Pb | PBEsol | optimized geometry

Lattice parameters (Å, degrees): 3.0832 3.0832 8.1127 79.05 79.05 60.00
Site moments in Bohr magnetons follow the coordinates.
Positions (direct):
Pb  0.5000  0.5000  0.5000  -0.01
Fe  0.7421  0.7421  0.7736  1.57
Fe  0.2579  0.2579  0.2264  1.57
Ta  0.0000  0.0000  0.0000  -0.31

total magnetic moment	2.7	μB/f.u.
symmetry	R-3m
DOS(E_F)	4.1	states/eV per cell
energy	-0.29846	hartree per atom

No. 3
TaFePb | PBEsol | optimized geometry

Lattice parameters (Å, degrees): 4.2616 4.2616 4.2616 60.00 60.00 60.00
Site moments in Bohr magnetons follow the coordinates.
Positions (direct):
Pb  0.0000  0.0000  0.0000  0.03
Ta  0.5000  0.5000  0.5000  -0.17
Fe  0.2500  0.2500  0.2500  1.14

total magnetic moment	1.0	μB/f.u.
symmetry	F-43m
DOS(E_F)	2.2	states/eV per cell
energy	-0.30064	hartree per atom

Q: Number 1 is which compound?
A: TaFePb2